MgVZnP2 after structural relaxation, computed with PBE-GGA.

Calculated values
Volume = 108 Å³/cell
E_tot = -4.2473 eV/atom
Mass density = 3107 kg/m3
Formation energy = 0.314 eV/atom
Crystal system = tetragonal

a = 4.4712 Å, b = 4.4712 Å, c = 5.4157 Å
α = 90.00°, β = 90.00°, γ = 90.00°
Fractional coordinates of all 5 atoms:
Mg (0.0000, 0.0000, 0.0000)
V (0.0000, 0.0000, 0.5000)
Zn (0.5000, 0.5000, 0.0000)
P (0.0000, 0.5000, 0.5000)
P (0.5000, 0.0000, 0.5000)